# 1
# CaPr3Ga2 (PBE, optimized geometry)
# - Crystal system: monoclinic
# - Offset from the most stable computed form: 0.0519 eV per atom
# - Formation energy: -0.338 eV per atom
data_CaPr3Ga2
_symmetry_space_group_name_H-M 'P 1'
_symmetry_Int_Tables_number 1
_symmetry_space_group_name_Hall 'P 1'
_cell_length_a 5.2786
_cell_length_b 11.1280
_cell_length_c 8.0279
_cell_angle_alpha 127.38
_cell_angle_beta 90.00
_cell_angle_gamma 103.72
loop_
_atom_site_label
_atom_site_fract_x
_atom_site_fract_y
_atom_site_fract_z
_atom_site_occupancy
Ca1 0.8378 0.6755 0.9516 1
Ca2 0.1622 0.3245 0.0484 1
Pr1 0.3230 0.6461 0.6382 1
Pr2 0.9493 0.8985 0.7031 1
Pr3 0.6285 0.2570 0.7244 1
Pr4 0.3715 0.7430 0.2756 1
Pr5 0.0507 0.1015 0.2969 1
Pr6 0.6770 0.3539 0.3618 1
Ga1 0.5323 0.0645 0.8994 1
Ga2 0.4677 0.9355 0.1006 1
Ga3 0.7868 0.5737 0.2519 1
Ga4 0.2132 0.4263 0.7481 1

=====

# 2
# Ac4Y3Tm (PBE, optimized geometry)
# - Crystal system: orthorhombic
# - Formation energy: 0.063 eV per atom
data_Ac4Y3Tm
_symmetry_space_group_name_H-M 'P 1'
_symmetry_Int_Tables_number 1
_symmetry_space_group_name_Hall 'P 1'
_cell_length_a 5.4037
_cell_length_b 10.4418
_cell_length_c 10.8094
_cell_angle_alpha 90.00
_cell_angle_beta 90.00
_cell_angle_gamma 90.00
loop_
_atom_site_label
_atom_site_fract_x
_atom_site_fract_y
_atom_site_fract_z
_atom_site_occupancy
Y1 0.5644 0.6078 0.0000 1
Y2 0.0644 0.6090 0.2490 1
Y3 0.5644 0.3910 0.2510 1
Y4 0.0644 0.3922 0.5000 1
Y5 0.5644 0.3910 0.7490 1
Y6 0.0644 0.6090 0.7510 1
Ac1 0.0644 0.8645 0.0000 1
Ac2 0.5644 0.1378 0.0000 1
Ac3 0.0644 0.1371 0.2496 1
Ac4 0.5644 0.8629 0.2504 1
Ac5 0.0644 0.8622 0.5000 1
Ac6 0.5644 0.1355 0.5000 1
Ac7 0.5644 0.8629 0.7496 1
Ac8 0.0644 0.1371 0.7504 1
Tm1 0.0644 0.3904 0.0000 1
Tm2 0.5644 0.6096 0.5000 1

=====

# 3
# TiSnO2 (PBE, optimized geometry)
# - Crystal system: tetragonal
# - Formation energy (no corrections): -7.5 eV per formula unit
data_TiSnO2
_symmetry_space_group_name_H-M 'P 1'
_symmetry_Int_Tables_number 1
_symmetry_space_group_name_Hall 'P 1'
_cell_length_a 5.9245
_cell_length_b 5.9245
_cell_length_c 5.9849
_cell_angle_alpha 60.33
_cell_angle_beta 60.33
_cell_angle_gamma 90.00
loop_
_atom_site_label
_atom_site_fract_x
_atom_site_fract_y
_atom_site_fract_z
_atom_site_occupancy
Sn1 0.0000 0.0000 0.0000 1
Sn2 0.7500 0.2500 0.5000 1
O1 0.3794 0.1250 0.2500 1
O2 0.3706 0.6250 0.2500 1
O3 0.3750 0.6206 0.7500 1
O4 0.8750 0.6294 0.7500 1
Ti1 0.5000 0.5000 0.0000 1
Ti2 0.2500 0.7500 0.5000 1

=====

# 4
# Sm6ErTm2Th (PBE, optimized geometry)
# - Crystal system: monoclinic
# - Formation energy: 0.146 eV per atom
data_Sm6ErTm2Th
_symmetry_space_group_name_H-M 'P 1'
_symmetry_Int_Tables_number 1
_symmetry_space_group_name_Hall 'P 1'
_cell_length_a 9.5015
_cell_length_b 8.8163
_cell_length_c 8.8163
_cell_angle_alpha 115.98
_cell_angle_beta 93.32
_cell_angle_gamma 93.32
loop_
_atom_site_label
_atom_site_fract_x
_atom_site_fract_y
_atom_site_fract_z
_atom_site_occupancy
Sm1 0.0586 0.1129 0.7651 1
Sm2 0.4414 0.2349 0.8871 1
Sm3 0.9414 0.8871 0.2349 1
Sm4 0.5586 0.7651 0.1129 1
Sm5 0.3127 0.9928 0.4303 1
Sm6 0.1873 0.5697 0.0072 1
Sm7 0.6873 0.0072 0.5697 1
Sm8 0.8127 0.4303 0.9928 1
Sm9 0.1158 0.7057 0.4821 1
Sm10 0.3842 0.5179 0.2943 1
Sm11 0.8842 0.2943 0.5179 1
Sm12 0.6158 0.4821 0.7057 1
Er1 0.2500 0.4105 0.5895 1
Er2 0.7500 0.5895 0.4105 1
Tm1 0.4472 0.7967 0.7018 1
Tm2 0.0528 0.2982 0.2033 1
Tm3 0.5528 0.2033 0.2982 1
Tm4 0.9472 0.7018 0.7967 1
Th1 0.2500 0.9675 0.0325 1
Th2 0.7500 0.0325 0.9675 1

=====

# 5
# Y6CO5 (PBE, optimized geometry)
# - Crystal system: monoclinic
# - Formation energy (no corrections): -29.9 eV per formula unit
data_Y6CO5
_symmetry_space_group_name_H-M 'P 1'
_symmetry_Int_Tables_number 1
_symmetry_space_group_name_Hall 'P 1'
_cell_length_a 5.9841
_cell_length_b 5.9841
_cell_length_c 5.9909
_cell_angle_alpha 99.53
_cell_angle_beta 99.53
_cell_angle_gamma 120.22
loop_
_atom_site_label
_atom_site_fract_x
_atom_site_fract_y
_atom_site_fract_z
_atom_site_occupancy
Y1 0.4094 0.0823 0.2461 1
Y2 0.9177 0.5906 0.7539 1
Y3 0.2473 0.2473 0.7551 1
Y4 0.7527 0.7527 0.2449 1
Y5 0.0823 0.4094 0.2461 1
Y6 0.5906 0.9177 0.7539 1
C1 0.0000 0.0000 0.0000 1
O1 0.8360 0.1640 0.5000 1
O2 0.6678 0.3322 0.0000 1
O3 0.5000 0.5000 0.5000 1
O4 0.3322 0.6678 0.0000 1
O5 0.1640 0.8360 0.5000 1

=====

# 6
# Li2OsCl (PBE, optimized geometry)
# - Crystal system: orthorhombic
# - Offset from the most stable computed form: 0.0593 eV per atom
# - Formation energy (no corrections): -1.0 eV per formula unit
data_Li2OsCl
_symmetry_space_group_name_H-M 'P 1'
_symmetry_Int_Tables_number 1
_symmetry_space_group_name_Hall 'P 1'
_cell_length_a 2.8067
_cell_length_b 2.8067
_cell_length_c 7.9821
_cell_angle_alpha 90.00
_cell_angle_beta 90.00
_cell_angle_gamma 114.56
loop_
_atom_site_label
_atom_site_fract_x
_atom_site_fract_y
_atom_site_fract_z
_atom_site_occupancy
Cl1 0.5000 0.5000 0.7500 1
Li1 0.0000 0.0000 0.9670 1
Li2 0.0000 0.0000 0.5330 1
Os1 0.5000 0.5000 0.2500 1

=====

# 7
# KZrTe2Pd (PBE, optimized geometry)
# - Crystal system: monoclinic
# - Formation energy (no corrections): -3.8 eV per formula unit
data_KZrTe2Pd
_symmetry_space_group_name_H-M 'P 1'
_symmetry_Int_Tables_number 1
_symmetry_space_group_name_Hall 'P 1'
_cell_length_a 4.8674
_cell_length_b 9.0352
_cell_length_c 7.0767
_cell_angle_alpha 100.63
_cell_angle_beta 90.00
_cell_angle_gamma 90.00
loop_
_atom_site_label
_atom_site_fract_x
_atom_site_fract_y
_atom_site_fract_z
_atom_site_occupancy
K1 0.2004 0.5000 0.7500 1
K2 0.7996 0.5000 0.2500 1
Zr1 0.4983 0.0000 0.2500 1
Zr2 0.5017 0.0000 0.7500 1
Te1 0.6914 0.7599 0.9443 1
Te2 0.6914 0.2401 0.5557 1
Te3 0.3086 0.7599 0.4443 1
Te4 0.3086 0.2401 0.0557 1
Pd1 0.0000 0.0000 0.0000 1
Pd2 0.0000 0.0000 0.5000 1

=====

# 8
# YVAs (PBE, optimized geometry)
# - Crystal system: tetragonal
# - Formation energy: -0.824 eV per atom
data_YVAs
_symmetry_space_group_name_H-M 'P 1'
_symmetry_Int_Tables_number 1
_symmetry_space_group_name_Hall 'P 1'
_cell_length_a 3.9102
_cell_length_b 3.9102
_cell_length_c 7.9578
_cell_angle_alpha 104.21
_cell_angle_beta 104.21
_cell_angle_gamma 90.00
loop_
_atom_site_label
_atom_site_fract_x
_atom_site_fract_y
_atom_site_fract_z
_atom_site_occupancy
As1 0.8801 0.8801 0.7607 1
As2 0.1199 0.1199 0.2393 1
Y1 0.3280 0.3280 0.6557 1
Y2 0.6720 0.6720 0.3443 1
V1 0.5000 0.0000 0.0000 1
V2 0.0000 0.5000 0.0000 1

=====

# 9
# LaY2Sn (PBE, optimized geometry)
# - Crystal system: tetragonal
# - Formation energy: -0.325 eV per atom
data_LaY2Sn
_symmetry_space_group_name_H-M 'P 1'
_symmetry_Int_Tables_number 1
_symmetry_space_group_name_Hall 'P 1'
_cell_length_a 3.8457
_cell_length_b 3.8457
_cell_length_c 8.3164
_cell_angle_alpha 90.00
_cell_angle_beta 90.00
_cell_angle_gamma 90.00
loop_
_atom_site_label
_atom_site_fract_x
_atom_site_fract_y
_atom_site_fract_z
_atom_site_occupancy
Y1 0.0000 0.0000 0.7877 1
Y2 0.0000 0.0000 0.2123 1
Sn1 0.5000 0.5000 0.0000 1
La1 0.5000 0.5000 0.5000 1

=====

# 10
# CsScTe2 (PBE, optimized geometry)
# - Crystal system: orthorhombic
# - Formation energy (no corrections): -4.4 eV per formula unit
data_CsScTe2
_symmetry_space_group_name_H-M 'P 1'
_symmetry_Int_Tables_number 1
_symmetry_space_group_name_Hall 'P 1'
_cell_length_a 7.8422
_cell_length_b 3.9277
_cell_length_c 20.0229
_cell_angle_alpha 90.00
_cell_angle_beta 90.00
_cell_angle_gamma 90.00
loop_
_atom_site_label
_atom_site_fract_x
_atom_site_fract_y
_atom_site_fract_z
_atom_site_occupancy
Cs1 0.2387 0.2500 0.5793 1
Cs2 0.2613 0.7500 0.0793 1
Cs3 0.7613 0.7500 0.4207 1
Cs4 0.7387 0.2500 0.9207 1
Sc1 0.2661 0.2500 0.3119 1
Sc2 0.2339 0.7500 0.8119 1
Sc3 0.7339 0.7500 0.6881 1
Sc4 0.7661 0.2500 0.1881 1
Te1 0.7375 0.2500 0.5824 1
Te2 0.7625 0.7500 0.0824 1
Te3 0.2625 0.7500 0.4176 1
Te4 0.2375 0.2500 0.9176 1
Te5 0.4836 0.2500 0.7495 1
Te6 0.0164 0.7500 0.2495 1
Te7 0.5164 0.7500 0.2505 1
Te8 0.9836 0.2500 0.7505 1